Record 1
Here is TlGeRuRh2 after structural relaxation from Alexandria via LeMat-Bulk. Energies are from PBE-GGA.

As for the raw total energy: -21.9 eV for the cell shown.

```
data_TlGeRuRh2
_space_group_name_H-M_alt 'P 4/m m m'
_space_group_IT_number 123
_space_group_name_Hall '-P 4 2'
_cell_length_a 4.942
_cell_length_b 4.942
_cell_length_c 5.008
_cell_angle_alpha 90.00
_cell_angle_beta 90.00
_cell_angle_gamma 90.00
loop_
_atom_site_label
_atom_site_fract_x
_atom_site_fract_y
_atom_site_fract_z
_atom_site_occupancy
Tl1 0.000 0.000 0.000 1
Ge1 0.500 0.500 0.500 1
Ru1 0.000 0.000 0.500 1
Rh1 0.000 0.500 0.000 1
```



Record 2
Here is TbPmNdAl after structural relaxation from Alexandria via LeMat-Bulk. Energies are from PBE-GGA.

As for the raw total energy: -72.4 eV for the cell shown. For the energy above the most stable polymorph in this dataset, the calculation gives 119 meV/atom.

```
data_TbPmNdAl
_space_group_name_H-M_alt 'F -4 3 m'
_space_group_IT_number 216
_space_group_name_Hall 'F -4 2 3'
_cell_length_a 7.712
_cell_length_b 7.712
_cell_length_c 7.712
_cell_angle_alpha 90.00
_cell_angle_beta 90.00
_cell_angle_gamma 90.00
loop_
_atom_site_label
_atom_site_fract_x
_atom_site_fract_y
_atom_site_fract_z
_atom_site_occupancy
Tb1 0.000 0.000 0.000 1
Pm1 0.250 0.250 0.250 1
Nd1 0.250 0.250 0.750 1
Al1 0.000 0.000 0.500 1
```



Record 3
Here is YSnGe3 after structural relaxation from Alexandria via LeMat-Bulk. Energies are from PBE-GGA.

As for the raw total energy: -21.6 eV for the cell shown. For the energy above the most stable polymorph in this dataset, the calculation gives 0 meV/atom.

```
data_YSnGe3
_space_group_name_H-M_alt 'P m -3 m'
_space_group_IT_number 221
_space_group_name_Hall '-P 4 2 3'
_cell_length_a 5.217
_cell_length_b 5.217
_cell_length_c 5.217
_cell_angle_alpha 90.00
_cell_angle_beta 90.00
_cell_angle_gamma 90.00
loop_
_atom_site_label
_atom_site_fract_x
_atom_site_fract_y
_atom_site_fract_z
_atom_site_occupancy
Y1 0.000 0.000 0.000 1
Sn1 0.500 0.500 0.500 1
Ge1 0.000 0.500 0.500 1
```



Energy of formation from the pure elements for every record listed, in sequence, given in eV per atom: 1.814; -0.051; 0.554.